No. 1
VASP calculation (PBE) on an optimized crystal structure of CsK2Rb12Hg3.

The structure belongs to space group R-3m (No. 166, hexagonal axes); the cell edges are 13.5665, 13.5665 and 27.1453 Å and the angles 90.00°, 90.00° and 120.00°. The asymmetric unit holds Cs at (0.0000, 0.0000, 0.0000), K at (0.0000, 0.0000, 0.4249), Rb at (0.0635, 0.5317, 0.8154), Rb at (0.0839, 0.5419, 0.3696) and Hg at (0.0000, 0.5000, 0.5000).

The total energy is -16.136 eV/f.u. The size of the total moment comes out at 0.0 μB per formula unit.

No. 2
VASP calculation (PBE) on an optimized crystal structure of Pa3ZnN6.

The structure belongs to space group Cmc2_1 (No. 36); the cell edges are 9.125, 11.279 and 5.546 Å and the angles 90.00°, 90.00° and 90.00°. The asymmetric unit holds Pa at (0.000, 0.107, 0.000), Pa at (0.200, 0.382, 0.053), Zn at (0.000, 0.319, 0.557), N at (0.000, 0.276, 0.202), N at (0.000, 0.498, 0.459), N at (0.158, 0.239, 0.772) and N at (0.159, 0.013, 0.278).

The total energy is -92.021 eV/f.u. For the formation energy from raw total energies, the calculation gives -12.3 eV per formula unit. The size of the total moment comes out at 0.2 μB per formula unit.

No. 3
VASP calculation (PBE) on an optimized crystal structure of Ac3Hg6Pb.

The structure belongs to space group R3m (No. 160, hexagonal axes); the cell edges are 12.9333, 12.9333 and 6.3789 Å and the angles 90.00°, 90.00° and 120.00°. The asymmetric unit holds Ac at (0.0000, 0.5000, 0.0000), Hg at (0.1017, 0.2034, 0.8411), Hg at (0.2025, 0.1012, 0.1585) and Pb at (0.0000, 0.0000, 0.5006).

The total energy is -21.323 eV/f.u. The size of the total moment comes out at 0.0 μB per formula unit.

No. 4
VASP calculation (PBE) on an optimized crystal structure of BaNaTlF6.

The structure belongs to space group P-31c (No. 163); the cell edges are 5.9363, 5.9363 and 11.1782 Å and the angles 90.00°, 90.00° and 120.00°. The asymmetric unit holds Ba at (0.0000, 0.0000, 0.0000), Na at (0.3333, 0.6667, 0.2500), Tl at (0.3333, 0.6667, 0.7500) and F at (0.0166, 0.3662, 0.6408).

The total energy is -41.563 eV/f.u. For the formation energy from raw total energies, the calculation gives -24.7 eV per formula unit. The size of the total moment comes out at 0.0 μB per formula unit.

No. 5
VASP calculation (PBE) on an optimized crystal structure of Zr2PRu.

The structure belongs to space group F-43m (No. 216); the cell edges are 6.463, 6.463 and 6.463 Å and the angles 90.00°, 90.00° and 90.00°. The asymmetric unit holds Zr at (0.000, 0.000, 0.000), Zr at (0.250, 0.250, 0.250), P at (0.000, 0.000, 0.500) and Ru at (0.250, 0.250, 0.750).

The total energy is -32.399 eV/f.u. The size of the total moment comes out at 0.0 μB per formula unit.

No. 6
VASP calculation (PBE) on an optimized crystal structure of KZrCd.

The structure belongs to space group Imm2 (No. 44); the cell edges are 3.010, 4.601 and 13.782 Å and the angles 90.00°, 90.00° and 90.00°. The asymmetric unit holds K at (0.000, 0.000, 0.000), Zr at (0.000, 0.000, 0.722) and Cd at (0.000, 0.000, 0.311).

The total energy is -9.222 eV/f.u. For the relative energy among the computed polymorphs, the calculation gives 75.2 meV per atom. The size of the total moment comes out at 0.6 μB per formula unit.

No. 7
VASP calculation (PBE) on an optimized crystal structure of ErMgHg4.

The structure belongs to space group P-1 (No. 2); the cell edges are 4.154, 5.350 and 7.280 Å and the angles 72.01°, 89.80° and 67.23°. The asymmetric unit holds Er at (0.000, 0.000, 0.000), Mg at (0.000, 0.000, 0.500), Hg at (0.333, 0.339, 0.661) and Hg at (0.337, 0.323, 0.180).

The total energy is -8.848 eV/f.u. The size of the total moment comes out at 0.0 μB per formula unit.

No. 8
VASP calculation (PBE) on an optimized crystal structure of YTm3Ni.

The structure belongs to space group Pm-3m (No. 221); the cell edges are 5.239, 5.239 and 5.239 Å and the angles 90.00°, 90.00° and 90.00°. The asymmetric unit holds Y at (0.000, 0.000, 0.000), Tm at (0.000, 0.500, 0.500) and Ni at (0.500, 0.500, 0.500).

The total energy is -26.010 eV/f.u. For the relative energy among the computed polymorphs, the calculation gives 58.8 meV per atom. The size of the total moment comes out at 0.0 μB per formula unit.

No. 9
VASP calculation (PBE) on an optimized crystal structure of PaTaCo.

The structure belongs to space group I4mm (No. 107); the cell edges are 3.034, 3.034 and 11.758 Å and the angles 90.00°, 90.00° and 90.00°. The asymmetric unit holds Pa at (0.000, 0.000, 0.000), Ta at (0.000, 0.000, 0.298) and Co at (0.000, 0.000, 0.677).

The total energy is -28.562 eV/f.u. For the relative energy among the computed polymorphs, the calculation gives 0.0 meV per atom. The size of the total moment comes out at 0.1 μB per formula unit.

No. 10
VASP calculation (PBE) on an optimized crystal structure of TbNpTaN3.

The structure belongs to space group P2_1/m (No. 11); the cell edges are 5.759, 3.242 and 9.126 Å and the angles 90.00°, 105.62° and 90.00°. The asymmetric unit holds Tb at (0.015, 0.250, 0.309), Np at (0.393, 0.250, 0.062), Ta at (0.458, 0.250, 0.625), N at (0.223, 0.750, 0.173), N at (0.251, 0.750, 0.503) and N at (0.288, 0.250, 0.791).

The total energy is -61.516 eV/f.u. For the formation energy from raw total energies, the calculation gives -7.1 eV per formula unit. The size of the total moment comes out at 0.9 μB per formula unit.

Here are the calculated Fermi-level density of states numbers, same order: 15.114, 4.653, 6.403, 0.000, 5.383, 3.042, 2.019, 8.646, 4.163, 3.717 (states/eV/f.u.).